## Pr2Cu3Ge (PBE)

Data for a relaxed structure of Pr2Cu3Ge.

Cell lengths 3.8620, 4.2709, 7.6104 Å; angles 90.00, 90.00, 90.00 degrees
Sites, in units of the cell vectors:
Pr  0.0000  0.0000  0.0000
Pr  0.0000  0.5000  0.4979
Cu  0.5000  0.0000  0.3372
Cu  0.5000  0.0000  0.6672
Cu  0.5000  0.5000  0.1635
Ge  0.5000  0.5000  0.8314

Results
- DFT total energy: -4.783 eV/atom
- Space group: No. 25
- Calculated formation energy: -2.233 eV per formula unit
- Offset from the most stable computed form: 14 meV/atom

## PrCu4Ge4 (PBE)

Data for a relaxed structure of PrCu4Ge4.

Cell lengths 6.2793, 6.2793, 8.0192 Å; angles 90.00, 90.00, 90.00 degrees
Sites, in units of the cell vectors:
Pr  0.2500  0.7500  0.2500
Pr  0.7500  0.2500  0.7500
Cu  0.0540  0.2500  0.0997
Cu  0.2500  0.0540  0.5997
Cu  0.2500  0.4460  0.5997
Cu  0.4460  0.2500  0.0997
Cu  0.5540  0.7500  0.9003
Cu  0.7500  0.5540  0.4003
Cu  0.7500  0.9460  0.4003
Cu  0.9460  0.7500  0.9003
Ge  0.0072  0.2500  0.3997
Ge  0.2500  0.0072  0.8997
Ge  0.2500  0.4928  0.8997
Ge  0.4928  0.2500  0.3997
Ge  0.5072  0.7500  0.6003
Ge  0.7500  0.5072  0.1003
Ge  0.7500  0.9928  0.1003
Ge  0.9928  0.7500  0.6003

Results
- DFT total energy: -4.541 eV/atom
- Space group: No. 137
- Calculated formation energy: -1.238 eV per formula unit

## Pr2Cu5Ge3 (PBE)

Data for a relaxed structure of Pr2Cu5Ge3.

Cell lengths 4.3272, 4.3272, 9.8362 Å; angles 90.00, 90.00, 90.00 degrees
Sites, in units of the cell vectors:
Pr  0.0000  0.5000  0.2309
Pr  0.5000  0.0000  0.7691
Cu  0.0000  0.0000  0.0000
Cu  0.0000  0.0000  0.5000
Cu  0.0000  0.5000  0.8887
Cu  0.5000  0.0000  0.1113
Cu  0.5000  0.5000  0.0000
Ge  0.0000  0.5000  0.6483
Ge  0.5000  0.0000  0.3517
Ge  0.5000  0.5000  0.5000

Results
- DFT total energy: -4.638 eV/atom
- Space group: No. 115
- Calculated formation energy: -2.483 eV per formula unit

## PrCuGe2 (PBE)

Data for a relaxed structure of PrCuGe2.

Cell lengths 10.1912, 10.1912, 10.1912 Å; angles 156.56, 156.56, 33.39 degrees
Sites, in units of the cell vectors:
Pr  0.1190  0.1190  0.0000
Pr  0.8810  0.8810  0.0000
Cu  0.2500  0.7500  0.5000
Cu  0.7500  0.2500  0.5000
Ge  0.0000  0.5000  0.5000
Ge  0.3184  0.3184  0.0000
Ge  0.5000  0.0000  0.5000
Ge  0.6816  0.6816  0.0000

Results
- DFT total energy: -4.984 eV/atom
- Space group: No. 139
- Calculated formation energy: -1.826 eV per formula unit

## Pr3Cu7Ge4 (PBE)

Data for a relaxed structure of Pr3Cu7Ge4.

Cell lengths 8.1031, 8.1031, 9.1614 Å; angles 124.15, 124.15, 30.54 degrees
Sites, in units of the cell vectors:
Pr  0.0000  0.0000  0.0000
Pr  0.3038  0.3038  0.2993
Pr  0.6962  0.6962  0.7007
Cu  0.0000  0.0000  0.5000
Cu  0.1375  0.1375  0.8677
Cu  0.3340  0.3340  0.6866
Cu  0.4980  0.4980  0.2972
Cu  0.5020  0.5020  0.7028
Cu  0.6660  0.6660  0.3134
Cu  0.8625  0.8625  0.1323
Ge  0.1252  0.1252  0.4102
Ge  0.3422  0.3422  0.9730
Ge  0.6578  0.6578  0.0270
Ge  0.8748  0.8748  0.5898

Results
- DFT total energy: -4.800 eV/atom
- Space group: No. 12
- Calculated formation energy: -5.718 eV per formula unit

## PrCu12Ge6 (PBE)

Data for a relaxed structure of PrCu12Ge6.

Cell lengths 6.8539, 6.8539, 6.8539 Å; angles 102.76, 102.76, 102.76 degrees
Sites, in units of the cell vectors:
Pr  0.0000  0.0000  0.0000
Cu  0.1124  0.5000  0.8876
Cu  0.1124  0.8875  0.5000
Cu  0.1391  0.3896  0.3896
Cu  0.3896  0.1391  0.3896
Cu  0.3896  0.3896  0.1391
Cu  0.5000  0.1124  0.8876
Cu  0.5000  0.8876  0.1124
Cu  0.6104  0.6104  0.8609
Cu  0.6104  0.8609  0.6104
Cu  0.8609  0.6104  0.6104
Cu  0.8876  0.1124  0.5000
Cu  0.8876  0.5000  0.1124
Ge  0.2694  0.2694  0.7010
Ge  0.2694  0.7010  0.2694
Ge  0.2990  0.7306  0.7306
Ge  0.7010  0.2694  0.2694
Ge  0.7306  0.2990  0.7306
Ge  0.7306  0.7306  0.2990

Results
- DFT total energy: -4.250 eV/atom
- Space group: No. 166
- Calculated formation energy: 0.888 eV per formula unit

## PrCu2Ge (PBE)

Data for a relaxed structure of PrCu2Ge.

Cell lengths 5.5412, 5.5412, 5.5412 Å; angles 44.51, 44.51, 44.51 degrees
Sites, in units of the cell vectors:
Pr  0.0000  0.0000  0.0000
Cu  0.2042  0.2042  0.2042
Cu  0.7958  0.7958  0.7958
Ge  0.5000  0.5000  0.5000

Results
- DFT total energy: -4.734 eV/atom
- Space group: No. 166
- Calculated formation energy: -1.346 eV per formula unit

## PrCuGe2 (PBE)

Data for a relaxed structure of PrCuGe2.

Cell lengths 5.8295, 5.8295, 5.8295 Å; angles 42.11, 42.11, 42.11 degrees
Sites, in units of the cell vectors:
Pr  0.0000  0.0000  0.0000
Cu  0.5000  0.5000  0.5000
Ge  0.2169  0.2169  0.2169
Ge  0.7831  0.7831  0.7831

Results
- DFT total energy: -4.986 eV/atom
- Space group: No. 166
- Calculated formation energy: -1.835 eV per formula unit

## Pr2Cu4Ge3Pt (PBE)

Data for a relaxed structure of Pr2Cu4Ge3Pt.

Cell lengths 4.2296, 4.2296, 10.0989 Å; angles 90.00, 90.00, 90.00 degrees
Sites, in units of the cell vectors:
Pr  0.0000  0.5000  0.2486
Pr  0.5000  0.0000  0.7514
Cu  0.0000  0.0000  0.0000
Cu  0.0000  0.5000  0.6371
Cu  0.5000  0.0000  0.3629
Cu  0.5000  0.5000  0.0000
Ge  0.0000  0.5000  0.8724
Ge  0.5000  0.0000  0.1276
Ge  0.5000  0.5000  0.5000
Pt  0.0000  0.0000  0.5000

Results
- DFT total energy: -5.098 eV/atom
- Space group: No. 115
- Calculated formation energy: -5.144 eV per formula unit

## Pr2CuGe4Pt3 (PBE)

Data for a relaxed structure of Pr2CuGe4Pt3.

Cell lengths 4.3577, 4.3577, 10.1775 Å; angles 90.00, 90.00, 90.00 degrees
Sites, in units of the cell vectors:
Pr  0.0000  0.5000  0.2453
Pr  0.5000  0.0000  0.7547
Cu  0.5000  0.5000  0.0000
Ge  0.0000  0.0000  0.5000
Ge  0.0000  0.5000  0.8705
Ge  0.5000  0.0000  0.1295
Ge  0.5000  0.5000  0.5000
Pt  0.0000  0.0000  0.0000
Pt  0.0000  0.5000  0.6257
Pt  0.5000  0.0000  0.3743

Results
- DFT total energy: -5.872 eV/atom
- Space group: No. 115
- Calculated formation energy: -8.471 eV per formula unit

## Pr2CuGePt6 (PBE)

Data for a relaxed structure of Pr2CuGePt6.

Cell lengths 6.6049, 6.6049, 8.4344 Å; angles 128.53, 128.53, 49.15 degrees
Sites, in units of the cell vectors:
Pr  0.2364  0.2364  0.2008
Pr  0.7636  0.7636  0.7992
Cu  0.5000  0.5000  0.0000
Ge  0.0000  0.0000  0.5000
Pt  0.2504  0.7387  0.2519
Pt  0.2523  0.2523  0.6032
Pt  0.2613  0.7496  0.7481
Pt  0.7387  0.2504  0.2519
Pt  0.7477  0.7477  0.3968
Pt  0.7496  0.2613  0.7481

Results
- DFT total energy: -6.174 eV/atom
- Space group: No. 12
- Calculated formation energy: -7.221 eV per formula unit

## PrCuGePt3 (PBE)

Data for a relaxed structure of PrCuGePt3.

Cell lengths 6.8044, 6.8044, 5.7308 Å; angles 90.00, 90.00, 118.95 degrees
Sites, in units of the cell vectors:
Pr  0.2107  0.7893  0.7500
Pr  0.7893  0.2107  0.2500
Cu  0.4512  0.5488  0.7500
Cu  0.5488  0.4512  0.2500
Ge  0.1231  0.8769  0.2500
Ge  0.8769  0.1231  0.7500
Pt  0.2135  0.2135  0.0000
Pt  0.2135  0.2135  0.5000
Pt  0.3277  0.6723  0.2500
Pt  0.6723  0.3277  0.7500
Pt  0.7865  0.7865  0.0000
Pt  0.7865  0.7865  0.5000

Results
- DFT total energy: -5.817 eV/atom
- Space group: No. 63
- Calculated formation energy: -3.287 eV per formula unit

## Pr3CuGe6Pt2 (PBE)

Data for a relaxed structure of Pr3CuGe6Pt2.

Cell lengths 6.0086, 6.0086, 8.2443 Å; angles 90.00, 90.00, 120.00 degrees
Sites, in units of the cell vectors:
Pr  0.0000  0.0000  0.0000
Pr  0.3333  0.6667  0.6422
Pr  0.6667  0.3333  0.3578
Cu  0.0000  0.0000  0.5000
Ge  0.1868  0.3736  0.2922
Ge  0.1868  0.8132  0.2922
Ge  0.3736  0.1868  0.7078
Ge  0.6264  0.8132  0.2922
Ge  0.8132  0.1868  0.7078
Ge  0.8132  0.6264  0.7078
Pt  0.3333  0.6667  0.0345
Pt  0.6667  0.3333  0.9655

Results
- DFT total energy: -5.252 eV/atom
- Space group: No. 164
- Calculated formation energy: -4.798 eV per formula unit

## Pr2Cu3Ge4Pt (PBE)

Data for a relaxed structure of Pr2Cu3Ge4Pt.

Cell lengths 4.2581, 4.2581, 10.1826 Å; angles 90.00, 90.00, 90.00 degrees
Sites, in units of the cell vectors:
Pr  0.0000  0.5000  0.2484
Pr  0.5000  0.0000  0.7516
Cu  0.0000  0.5000  0.8727
Cu  0.5000  0.0000  0.1273
Cu  0.5000  0.5000  0.5000
Ge  0.0000  0.0000  0.0000
Ge  0.0000  0.5000  0.6346
Ge  0.5000  0.0000  0.3654
Ge  0.5000  0.5000  0.0000
Pt  0.0000  0.0000  0.5000

Results
- DFT total energy: -5.242 eV/atom
- Space group: No. 115
- Calculated formation energy: -6.061 eV per formula unit

## Pr2CuGe3Pt4 (PBE)

Data for a relaxed structure of Pr2CuGe3Pt4.

Cell lengths 4.3765, 4.3765, 10.0797 Å; angles 90.00, 90.00, 90.00 degrees
Sites, in units of the cell vectors:
Pr  0.0000  0.5000  0.2399
Pr  0.5000  0.0000  0.7601
Cu  0.5000  0.5000  0.0000
Ge  0.0000  0.0000  0.0000
Ge  0.0000  0.5000  0.6307
Ge  0.5000  0.0000  0.3693
Pt  0.0000  0.0000  0.5000
Pt  0.0000  0.5000  0.8731
Pt  0.5000  0.0000  0.1269
Pt  0.5000  0.5000  0.5000

Results
- DFT total energy: -6.037 eV/atom
- Space group: No. 115
- Calculated formation energy: -8.704 eV per formula unit

## PrPuCuGe (PBE)

Data for a relaxed structure of PrPuCuGe.

Cell lengths 5.1015, 5.1015, 5.1015 Å; angles 60.00, 60.00, 60.00 degrees
Sites, in units of the cell vectors:
Pr  0.0000  0.0000  0.0000
Pu  0.5000  0.5000  0.5000
Cu  0.7500  0.7500  0.7500
Ge  0.2500  0.2500  0.2500

Results
- DFT total energy: -7.237 eV/atom
- Space group: No. 216
- Calculated formation energy: -1.124 eV per formula unit

## Pr2Cu3Ge4Rh (PBE)

Data for a relaxed structure of Pr2Cu3Ge4Rh.

Cell lengths 4.2313, 4.2313, 10.2022 Å; angles 90.00, 90.00, 90.00 degrees
Sites, in units of the cell vectors:
Pr  0.0000  0.5000  0.2499
Pr  0.5000  0.0000  0.7501
Cu  0.0000  0.0000  0.0000
Cu  0.0000  0.5000  0.6298
Cu  0.5000  0.0000  0.3702
Ge  0.0000  0.0000  0.5000
Ge  0.0000  0.5000  0.8697
Ge  0.5000  0.0000  0.1303
Ge  0.5000  0.5000  0.5000
Rh  0.5000  0.5000  0.0000

Results
- DFT total energy: -5.341 eV/atom
- Space group: No. 115
- Calculated formation energy: -5.744 eV per formula unit

## PrCuGe2Rh (PBE)

Data for a relaxed structure of PrCuGe2Rh.

Cell lengths 5.9654, 5.9654, 5.9654 Å; angles 138.45, 138.45, 60.22 degrees
Sites, in units of the cell vectors:
Pr  0.0000  0.0000  0.0000
Cu  0.2500  0.7500  0.5000
Ge  0.3755  0.3755  0.0000
Ge  0.6245  0.6245  0.0000
Rh  0.7500  0.2500  0.5000

Results
- DFT total energy: -5.751 eV/atom
- Space group: No. 119
- Calculated formation energy: -3.293 eV per formula unit

## Pr3Cu2Ge6Rh (PBE)

Data for a relaxed structure of Pr3Cu2Ge6Rh.

Cell lengths 6.0916, 6.0916, 8.0018 Å; angles 90.00, 90.00, 120.00 degrees
Sites, in units of the cell vectors:
Pr  0.0000  0.0000  0.0000
Pr  0.3333  0.6667  0.6470
Pr  0.6667  0.3333  0.3530
Cu  0.3333  0.6667  0.0351
Cu  0.6667  0.3333  0.9649
Ge  0.1887  0.3774  0.2963
Ge  0.1887  0.8113  0.2963
Ge  0.3774  0.1887  0.7037
Ge  0.6226  0.8113  0.2963
Ge  0.8113  0.1887  0.7037
Ge  0.8113  0.6226  0.7037
Rh  0.0000  0.0000  0.5000

Results
- DFT total energy: -5.154 eV/atom
- Space group: No. 164
- Calculated formation energy: -4.256 eV per formula unit

## Pr2CuGe4Rh3 (PBE)

Data for a relaxed structure of Pr2CuGe4Rh3.

Cell lengths 4.3383, 4.3383, 9.9472 Å; angles 90.00, 90.00, 90.00 degrees
Sites, in units of the cell vectors:
Pr  0.0000  0.5000  0.2468
Pr  0.5000  0.0000  0.7532
Cu  0.0000  0.0000  0.5000
Ge  0.0000  0.0000  0.0000
Ge  0.0000  0.5000  0.6278
Ge  0.5000  0.0000  0.3722
Ge  0.5000  0.5000  0.0000
Rh  0.0000  0.5000  0.8750
Rh  0.5000  0.0000  0.1250
Rh  0.5000  0.5000  0.5000

Results
- DFT total energy: -6.167 eV/atom
- Space group: No. 115
- Calculated formation energy: -7.496 eV per formula unit

## Pr2CuGe3Rh4 (PBE)

Data for a relaxed structure of Pr2CuGe3Rh4.

Cell lengths 4.2419, 4.2419, 10.2627 Å; angles 90.00, 90.00, 90.00 degrees
Sites, in units of the cell vectors:
Pr  0.0000  0.5000  0.2448
Pr  0.5000  0.0000  0.7552
Cu  0.5000  0.5000  0.0000
Ge  0.0000  0.0000  0.0000
Ge  0.0000  0.5000  0.6286
Ge  0.5000  0.0000  0.3714
Rh  0.0000  0.0000  0.5000
Rh  0.0000  0.5000  0.8688
Rh  0.5000  0.0000  0.1312
Rh  0.5000  0.5000  0.5000

Results
- DFT total energy: -6.463 eV/atom
- Space group: No. 115
- Calculated formation energy: -7.715 eV per formula unit

## Pr2CuGeS5 (PBE)

Data for a relaxed structure of Pr2CuGeS5.

Cell lengths 8.7565, 8.7565, 11.1796 Å; angles 90.00, 90.00, 153.03 degrees
Sites, in units of the cell vectors:
Pr  0.1136  0.8864  0.5000
Pr  0.1231  0.8769  0.1212
Pr  0.8769  0.1231  0.6212
Pr  0.8864  0.1136  0.0000
Cu  0.2480  0.7520  0.9183
Cu  0.7520  0.2480  0.4183
Ge  0.4108  0.5892  0.2919
Ge  0.5892  0.4108  0.7919
S  0.0427  0.9573  0.8761
S  0.3021  0.6979  0.4668
S  0.3075  0.6925  0.1483
S  0.3604  0.6396  0.8137
S  0.4941  0.5059  0.1083
S  0.5059  0.4941  0.6083
S  0.6396  0.3604  0.3137
S  0.6925  0.3075  0.6483
S  0.6979  0.3021  0.9668
S  0.9573  0.0427  0.3761

Results
- ΔE_f (raw): -1.213 eV per atom
- DFT total energy: -5.536 eV/atom
- Space group: No. 36